DFT (GGA-PBE) results for a relaxed GaMoH crystal.

abc: 3.077 5.298 8.394
angles: 90.00 90.00 90.00
Positions (direct):
1 Ga 0.000 0.244 0.000
2 Ga 0.000 0.756 0.000
3 Ga 0.500 0.256 0.500
4 Ga 0.500 0.744 0.500
5 Mo 0.000 0.000 0.280
6 Mo 0.000 0.000 0.712
7 Mo 0.500 0.500 0.212
8 Mo 0.500 0.500 0.780
9 H 0.000 0.346 0.312
10 H 0.000 0.654 0.312
11 H 0.500 0.154 0.812
12 H 0.500 0.846 0.812

Computed properties:
calculated total energy	-5.703	eV per atom
density of states at the Fermi level	1.22	states/eV/f.u.
spin magnetization	0.0	μB/f.u.
ρ	8.091	g/cm3
SG	Imm2 (44)
energy relative to the lowest polymorph listed for this composition	0.23	eV per formula unit